Here is Tb6AgIr3 after structural relaxation from the Alexandria database. Energies are from PBE.

Geometry as POSCAR:
```
Tb6AgIr3
1.0
5.271 -7.319 0.000
5.271 7.319 0.000
0.000 0.000 6.719
Tb Ag Ir
12 2 6
Direct
0.029 0.971 0.500
0.112 0.524 0.951
0.254 0.746 0.380
0.285 0.348 0.396
0.348 0.285 0.896
0.476 0.888 0.951
0.524 0.112 0.451
0.652 0.715 0.396
0.715 0.652 0.896
0.746 0.254 0.880
0.888 0.476 0.451
0.971 0.029 0.000
0.158 0.842 0.824
0.842 0.158 0.324
0.038 0.268 0.692
0.268 0.038 0.192
0.409 0.591 0.121
0.591 0.409 0.621
0.732 0.962 0.692
0.962 0.732 0.192
```

## Properties
Crystal system ... orthorhombic
Electronic total energy ... -6.29 eV per atom
ρ ... 10.494 g cm⁻³

---

Here is TlCuTe2 after structural relaxation from the Alexandria database. Energies are from PBE.

Geometry as POSCAR:
```
TlCuTe2
1.0
8.242 0.000 0.000
0.000 8.253 0.000
0.000 0.000 3.183
Tl Cu Te
2 2 4
Direct
0.000 0.000 0.000
0.500 0.500 0.000
0.000 0.500 0.000
0.500 0.000 0.000
0.250 0.250 0.500
0.250 0.750 0.500
0.750 0.250 0.500
0.750 0.750 0.500
```

## Properties
Energy relative to the elements, uncorrected ... 1.14 eV per formula unit
Crystal system ... orthorhombic
Electronic total energy ... -2.90 eV per atom
ρ ... 8.026 g cm⁻³

---

Here is Sm2TaSi3Ir4 after structural relaxation from the Alexandria database. Energies are from PBE.

Geometry as POSCAR:
```
Sm2TaSi3Ir4
1.0
4.143 0.000 0.000
0.000 4.143 0.000
0.000 0.000 10.435
Sm Ta Si Ir
2 1 3 4
Direct
0.000 0.500 0.239
0.500 0.000 0.761
0.000 0.000 0.500
0.000 0.500 0.875
0.500 0.000 0.125
0.500 0.500 0.500
0.000 0.000 0.000
0.000 0.500 0.642
0.500 0.000 0.358
0.500 0.500 0.000
```

## Properties
Energy relative to the elements, uncorrected ... -9.57 eV per formula unit
Crystal system ... tetragonal
Electronic total energy ... -8.26 eV per atom
ρ ... 12.373 g cm⁻³

---

Here is SmCuTeSe after structural relaxation from the Alexandria database. Energies are from PBE.

Geometry as POSCAR:
```
SmCuTeSe
1.0
2.128 1.229 14.298
-2.128 1.229 14.298
0.000 -2.457 14.298
Sm Cu Te Se
2 2 2 2
Direct
0.081 0.081 0.081
0.919 0.919 0.919
0.310 0.310 0.310
0.690 0.690 0.690
0.212 0.212 0.212
0.788 0.788 0.788
0.370 0.370 0.370
0.630 0.630 0.630
```

## Properties
Energy relative to the elements, uncorrected ... -3.77 eV per formula unit
Crystal system ... trigonal
Electronic total energy ... -4.80 eV per atom
ρ ... 6.225 g cm⁻³

---

Here is PmY2Tm9 after structural relaxation from the Alexandria database. Energies are from PBE.

Geometry as POSCAR:
```
PmY2Tm9
1.0
11.120 0.000 0.000
-5.560 9.630 0.000
0.000 0.000 3.478
Pm Y Tm
1 2 9
Direct
0.000 0.000 0.000
0.333 0.667 0.000
0.667 0.333 0.000
0.000 0.500 0.000
0.177 0.355 0.500
0.177 0.823 0.500
0.355 0.177 0.500
0.500 0.000 0.000
0.500 0.500 0.000
0.645 0.823 0.500
0.823 0.177 0.500
0.823 0.645 0.500
```

## Properties
Distance to the lowest polymorph of the same formula ... 25.4 meV per atom
Crystal system ... hexagonal
Electronic total energy ... -4.77 eV per atom
ρ ... 8.219 g cm⁻³

---

Here is Na2CdInHg after structural relaxation from the Alexandria database. Energies are from PBE.

Geometry as POSCAR:
```
Na2CdInHg
1.0
3.338 0.000 0.000
0.000 5.283 0.000
0.000 0.000 15.281
Na Cd In Hg
4 2 2 2
Direct
0.000 0.000 0.000
0.000 0.000 0.368
0.500 0.500 0.500
0.500 0.500 0.868
0.000 0.000 0.579
0.500 0.500 0.079
0.000 0.000 0.781
0.500 0.500 0.281
0.000 0.500 0.683
0.500 0.000 0.183
```

## Properties
Crystal system ... orthorhombic
Electronic total energy ... -1.41 eV per atom
ρ ... 5.839 g cm⁻³

---

Here is Dy4Y4Mg after structural relaxation from the Alexandria database. Energies are from PBE.

Geometry as POSCAR:
```
Dy4Y4Mg
1.0
-5.296 5.296 2.494
5.296 -5.296 2.494
5.296 5.296 -2.494
Dy Y Mg
4 4 1
Direct
0.000 0.336 0.336
0.000 0.664 0.664
0.336 0.000 0.336
0.664 0.000 0.664
0.334 0.334 0.669
0.334 0.666 0.000
0.666 0.334 0.000
0.666 0.666 0.331
0.000 0.000 0.000
```

## Properties
Crystal system ... tetragonal
Electronic total energy ... -5.07 eV per atom
ρ ... 6.111 g cm⁻³

---

Here is Li2Ge3Cl8 after structural relaxation from the Alexandria database. Energies are from PBE.

Geometry as POSCAR:
```
Li2Ge3Cl8
1.0
7.884 -3.300 0.000
7.884 3.300 0.000
-3.836 0.000 14.520
Li Ge Cl
4 6 16
Direct
0.044 0.438 0.338
0.438 0.044 0.838
0.562 0.956 0.162
0.956 0.562 0.662
0.014 0.702 0.952
0.136 0.864 0.250
0.298 0.986 0.548
0.702 0.014 0.452
0.864 0.136 0.750
0.986 0.298 0.048
0.009 0.814 0.652
0.041 0.753 0.374
0.162 0.447 0.815
0.186 0.991 0.848
0.247 0.959 0.126
0.276 0.282 0.057
0.282 0.276 0.557
0.447 0.162 0.315
0.553 0.838 0.685
0.718 0.724 0.443
0.724 0.718 0.943
0.753 0.041 0.874
0.814 0.009 0.152
0.838 0.553 0.185
0.959 0.247 0.626
0.991 0.186 0.348
```

## Properties
Energy relative to the elements, uncorrected ... -14.30 eV per formula unit
Crystal system ... monoclinic
Electronic total energy ... -3.60 eV per atom
ρ ... 2.266 g cm⁻³

---

Here is Th3Zn9Ge2 after structural relaxation from the Alexandria database. Energies are from PBE.

Geometry as POSCAR:
```
Th3Zn9Ge2
1.0
-2.201 4.819 6.399
2.201 -4.819 6.399
2.201 4.819 -6.399
Th Zn Ge
3 9 2
Direct
0.000 0.000 0.000
0.313 0.313 0.000
0.687 0.687 0.000
0.033 0.662 0.371
0.121 0.852 0.269
0.291 0.662 0.629
0.417 0.148 0.269
0.500 0.000 0.500
0.583 0.852 0.731
0.709 0.338 0.371
0.879 0.148 0.731
0.967 0.338 0.629
0.283 0.500 0.783
0.717 0.500 0.217
```

## Properties
Crystal system ... orthorhombic
Electronic total energy ... -3.37 eV per atom
ρ ... 8.747 g cm⁻³

---

Here is Sr3Mg3Zn2 after structural relaxation from the Alexandria database. Energies are from PBE.

Geometry as POSCAR:
```
Sr3Mg3Zn2
1.0
8.812 0.000 0.000
0.000 17.506 0.000
0.000 0.000 6.393
Sr Mg Zn
12 12 8
Direct
0.034 0.108 0.112
0.034 0.392 0.112
0.170 0.250 0.632
0.330 0.750 0.132
0.466 0.608 0.612
0.466 0.892 0.612
0.534 0.108 0.388
0.534 0.392 0.388
0.670 0.250 0.868
0.830 0.750 0.368
0.966 0.608 0.888
0.966 0.892 0.888
0.172 0.034 0.604
0.172 0.466 0.604
0.174 0.750 0.620
0.326 0.250 0.120
0.328 0.534 0.104
0.328 0.966 0.104
0.672 0.034 0.896
0.672 0.466 0.896
0.674 0.750 0.880
0.826 0.250 0.380
0.828 0.534 0.396
0.828 0.966 0.396
0.119 0.608 0.385
0.119 0.892 0.385
0.381 0.108 0.885
0.381 0.392 0.885
0.619 0.608 0.115
0.619 0.892 0.115
0.881 0.108 0.615
0.881 0.392 0.615
```

## Properties
Crystal system ... orthorhombic
Electronic total energy ... -1.67 eV per atom
ρ ... 3.143 g cm⁻³

---

Here is KMnNiS3 after structural relaxation from the Alexandria database. Energies are from PBE.

Geometry as POSCAR:
```
KMnNiS3
1.0
8.124 0.000 0.000
0.000 3.545 0.000
-3.684 0.000 8.209
K Mn Ni S
2 2 2 6
Direct
0.235 0.250 0.261
0.765 0.750 0.739
0.314 0.750 0.844
0.686 0.250 0.156
0.084 0.250 0.608
0.916 0.750 0.392
0.130 0.250 0.867
0.218 0.750 0.560
0.478 0.750 0.135
0.522 0.250 0.865
0.782 0.250 0.440
0.870 0.750 0.133
```

## Properties
Energy relative to the elements, uncorrected ... -4.24 eV per formula unit
Crystal system ... monoclinic
Electronic total energy ... -5.45 eV per atom
ρ ... 3.496 g cm⁻³

---

Here is CdAg3Au3 after structural relaxation from the Alexandria database. Energies are from PBE.

Geometry as POSCAR:
```
CdAg3Au3
1.0
3.903 2.253 4.850
-3.903 2.253 4.850
0.000 -4.506 4.850
Cd Ag Au
2 6 6
Direct
0.248 0.248 0.248
0.752 0.752 0.752
0.182 0.462 0.609
0.391 0.818 0.538
0.462 0.609 0.182
0.538 0.391 0.818
0.609 0.182 0.462
0.818 0.538 0.391
0.033 0.890 0.324
0.110 0.676 0.967
0.324 0.033 0.890
0.676 0.967 0.110
0.890 0.324 0.033
0.967 0.110 0.676
```

## Properties
Distance to the lowest polymorph of the same formula ... 0.0 meV per atom
Crystal system ... trigonal
Electronic total energy ... -2.84 eV per atom
ρ ... 13.328 g cm⁻³

---

Here is LaDySi4 after structural relaxation from the Alexandria database. Energies are from PBE.

Geometry as POSCAR:
```
LaDySi4
1.0
7.409 0.000 0.000
0.000 16.284 0.000
0.000 0.000 4.207
La Dy Si
4 4 16
Direct
0.131 0.168 0.000
0.369 0.668 0.000
0.631 0.332 0.000
0.869 0.832 0.000
0.136 0.413 0.000
0.364 0.913 0.000
0.636 0.087 0.000
0.864 0.587 0.000
0.031 0.686 0.500
0.096 0.942 0.500
0.146 0.543 0.500
0.209 0.804 0.500
0.291 0.304 0.500
0.354 0.043 0.500
0.404 0.442 0.500
0.469 0.186 0.500
0.531 0.814 0.500
0.596 0.558 0.500
0.646 0.957 0.500
0.709 0.696 0.500
0.791 0.196 0.500
0.854 0.457 0.500
0.904 0.058 0.500
0.969 0.314 0.500
```

## Properties
Energy relative to the elements, uncorrected ... -3.15 eV per formula unit
Crystal system ... orthorhombic
Electronic total energy ... -5.73 eV per atom
ρ ... 5.415 g cm⁻³

---

Here is Pm2PrCu after structural relaxation from the Alexandria database. Energies are from PBE.

Geometry as POSCAR:
```
Pm2PrCu
1.0
3.622 0.000 0.000
0.000 3.622 0.000
0.000 0.000 8.849
Pm Pr Cu
2 1 1
Direct
0.000 0.000 0.194
0.000 0.000 0.806
0.500 0.500 0.500
0.500 0.500 0.000
```

## Properties
Distance to the lowest polymorph of the same formula ... 0.0 meV per atom
Crystal system ... tetragonal
Electronic total energy ... -4.66 eV per atom
ρ ... 7.075 g cm⁻³

---

Here is BaSr4Ca2 after structural relaxation from the Alexandria database. Energies are from PBE.

Geometry as POSCAR:
```
BaSr4Ca2
1.0
13.273 0.000 0.000
0.000 5.933 0.000
-1.303 0.000 9.265
Ba Sr Ca
2 8 4
Direct
0.000 0.000 0.000
0.500 0.500 0.000
0.077 0.500 0.704
0.212 0.500 0.155
0.288 0.000 0.845
0.423 0.000 0.296
0.577 0.000 0.704
0.712 0.000 0.155
0.788 0.500 0.845
0.923 0.500 0.296
0.142 0.000 0.434
0.358 0.500 0.566
0.642 0.500 0.434
0.858 0.000 0.566
```

## Properties
Distance to the lowest polymorph of the same formula ... 0.0 meV per atom
Crystal system ... monoclinic
Electronic total energy ... -1.79 eV per atom
ρ ... 2.585 g cm⁻³

---

Here is La4Co2Au after structural relaxation from the Alexandria database. Energies are from PBE.

Geometry as POSCAR:
```
La4Co2Au
1.0
0.000 6.588 6.601
4.567 0.000 6.601
4.567 6.588 0.000
La Co Au
8 4 2
Direct
0.152 0.284 0.284
0.221 0.716 0.716
0.284 0.152 0.779
0.284 0.779 0.152
0.716 0.221 0.848
0.716 0.848 0.221
0.779 0.284 0.284
0.848 0.716 0.716
0.000 0.000 0.000
0.000 0.000 0.500
0.000 0.500 0.000
0.500 0.000 0.000
0.375 0.375 0.375
0.625 0.625 0.625
```

## Properties
Crystal system ... orthorhombic
Electronic total energy ... -5.54 eV per atom
ρ ... 7.277 g cm⁻³

---

Here is Sm2PuScP4 after structural relaxation from the Alexandria database. Energies are from PBE.

Geometry as POSCAR:
```
Sm2PuScP4
1.0
6.885 0.000 0.000
0.000 4.005 0.000
-2.304 0.000 6.513
Sm Pu Sc P
2 1 1 4
Direct
0.000 0.000 0.000
0.500 0.500 0.000
0.000 0.500 0.500
0.500 0.000 0.500
0.249 0.000 0.734
0.260 0.500 0.268
0.740 0.500 0.732
0.751 0.000 0.266
```

## Properties
Crystal system ... monoclinic
Electronic total energy ... -7.88 eV per atom
ρ ... 6.597 g cm⁻³

---

Here is BaNa2Ca after structural relaxation from the Alexandria database. Energies are from PBE.

Geometry as POSCAR:
```
BaNa2Ca
1.0
6.299 0.000 0.000
0.000 6.299 0.000
0.000 0.000 4.534
Ba Na Ca
1 2 1
Direct
0.000 0.000 0.000
0.000 0.500 0.500
0.500 0.000 0.500
0.500 0.500 0.000
```

## Properties
Distance to the lowest polymorph of the same formula ... 25.0 meV per atom
Crystal system ... tetragonal
Electronic total energy ... -1.58 eV per atom
ρ ... 2.062 g cm⁻³

---

Here is YScGa after structural relaxation from the Alexandria database. Energies are from PBE.

Geometry as POSCAR:
```
YScGa
1.0
3.348 0.000 0.000
0.000 3.348 0.000
0.000 0.000 12.653
Y Sc Ga
2 2 2
Direct
0.000 0.000 0.000
0.500 0.500 0.500
0.000 0.000 0.296
0.500 0.500 0.796
0.000 0.000 0.660
0.500 0.500 0.160
```

## Properties
Distance to the lowest polymorph of the same formula ... 90.2 meV per atom
Crystal system ... tetragonal
Electronic total energy ... -5.66 eV per atom
ρ ... 4.767 g cm⁻³

---

Here is PuZr8Sc6 after structural relaxation from the Alexandria database. Energies are from PBE.

Geometry as POSCAR:
```
PuZr8Sc6
1.0
2.791 1.611 13.122
-2.791 1.611 13.122
0.000 -3.222 13.122
Pu Zr Sc
1 8 6
Direct
0.000 0.000 0.000
0.134 0.801 0.468
0.199 0.532 0.866
0.333 0.333 0.333
0.468 0.134 0.801
0.532 0.866 0.199
0.667 0.667 0.667
0.801 0.468 0.134
0.866 0.199 0.532
0.067 0.401 0.733
0.267 0.933 0.599
0.401 0.733 0.067
0.599 0.267 0.933
0.733 0.067 0.401
0.933 0.599 0.267
```

## Properties
Crystal system ... trigonal
Electronic total energy ... -8.03 eV per atom
ρ ... 5.833 g cm⁻³